Entry from Alexandria via LeMat-Bulk: a relaxed Cs2HgBiPb crystal (PBE).

Cell lengths 9.506, 5.440, 9.543 Å; angles 90.00, 108.48, 90.00 degrees
Element x y z (fractional)
Cs: 0.134 0.250 0.373
Cs: 0.310 0.250 0.935
Cs: 0.690 0.750 0.065
Cs: 0.866 0.750 0.627
Hg: 0.091 0.750 0.058
Hg: 0.909 0.250 0.942
Bi: 0.387 0.750 0.651
Bi: 0.613 0.250 0.349
Pb: 0.420 0.750 0.329
Pb: 0.580 0.250 0.671

SG ... P2_1/m
ΔE_f ... -0.274 eV/atom

=====

Entry from Alexandria via LeMat-Bulk: a relaxed CsHgBiPb crystal (PBE).

Cell lengths 5.960, 5.960, 5.960 Å; angles 60.00, 60.00, 60.00 degrees
Element x y z (fractional)
Cs: 0.000 0.000 0.000
Hg: 0.250 0.250 0.250
Bi: 0.750 0.750 0.750
Pb: 0.500 0.500 0.500

SG ... F-43m
ΔE_f ... -0.087 eV/atom
E above lowest polymorph ... 107 meV per atom

=====

Entry from Alexandria via LeMat-Bulk: a relaxed CsHg2BiPb crystal (PBE).

Cell lengths 7.391, 7.391, 7.391 Å; angles 138.78, 135.16, 62.53 degrees
Element x y z (fractional)
Cs: 0.000 0.000 0.000
Hg: 0.627 0.627 0.000
Hg: 0.743 0.243 0.500
Bi: 0.382 0.382 0.000
Pb: 0.240 0.740 0.500

SG ... Imm2
ΔE_f ... -0.179 eV/atom
E above lowest polymorph ... 0 meV per atom